Entry from Alexandria via LeMat-Bulk: a relaxed Ba2MoF6 crystal (PBE with a Hubbard U).

Geometry as extended XYZ:
```
18
Lattice="5.626 0.000 0.000 0.000 5.626 0.000 0.000 0.000 11.995" Properties=species:S:1:pos:R:3 pbc="T T T"
F 1.828 1.828 4.169
F 4.641 0.985 1.829
F 3.798 3.798 7.826
F 3.798 3.798 4.169
F 1.259 4.367 5.998
F 4.072 4.072 0.000
F 1.828 1.828 7.826
F 0.985 4.641 10.167
F 4.367 1.259 5.998
F 4.641 0.985 10.167
F 0.985 4.641 1.829
F 1.554 1.554 0.000
Ba 2.813 2.813 1.956
Ba 0.000 0.000 7.954
Ba 0.000 0.000 4.042
Ba 2.813 2.813 10.040
Mo 0.000 0.000 0.000
Mo 2.813 2.813 5.998
```

Properties
E = -5.54 eV/atom